# DyHfAlCu

A relaxed DyHfAlCu crystal (PBE-GGA, the Alexandria database).

Formation energy from the elements in eV per formula unit: -0.64
Fermi-level density of states in states/eV/f.u.: 4.57
V in Å³/f.u.: 80.5
Space-group type: F-43m (216)

a b c (Å): 6.8546 6.8546 6.8546
angles (deg): 90.00 90.00 90.00
Closest atoms and distances in Å follow each position.
Fractional coordinates of all 16 atoms:
Dy: 0.0000 0.0000 0.0000  4 Cu 2.97, 4 Al 2.97
Dy: 0.0000 0.5000 0.5000  4 Al 2.97, 4 Cu 2.97
Dy: 0.5000 0.0000 0.5000  4 Al 2.97, 4 Cu 2.97
Dy: 0.5000 0.5000 0.0000  4 Al 2.97, 4 Cu 2.97
Hf: 0.0000 0.0000 0.5000  4 Al 2.97, 4 Cu 2.97
Hf: 0.0000 0.5000 0.0000  4 Al 2.97, 4 Cu 2.97
Hf: 0.5000 0.0000 0.0000  4 Al 2.97, 4 Cu 2.97
Hf: 0.5000 0.5000 0.5000  4 Al 2.97, 4 Cu 2.97
Al: 0.2500 0.2500 0.2500  4 Dy 2.97, 4 Hf 2.97
Al: 0.2500 0.7500 0.7500  4 Dy 2.97, 4 Hf 2.97
Al: 0.7500 0.2500 0.7500  4 Dy 2.97, 4 Hf 2.97
Al: 0.7500 0.7500 0.2500  4 Dy 2.97, 4 Hf 2.97
Cu: 0.2500 0.2500 0.7500  4 Hf 2.97, 4 Dy 2.97
Cu: 0.2500 0.7500 0.2500  4 Hf 2.97, 4 Dy 2.97
Cu: 0.7500 0.2500 0.2500  4 Hf 2.97, 4 Dy 2.97
Cu: 0.7500 0.7500 0.7500  4 Hf 2.97, 4 Dy 2.97